Record 1
10
Lattice="6.956 0.000 0.000 -3.478 6.024 0.000 0.000 0.000 5.210" Properties=species:S:1:pos:R:3 comment="LiIn3Ni (GGA-PBE, optimized geometry)" de_polymorph_mev_per_atom=34 total_magnetization_mub_per_cell=0.00 pbc="T T T"
Li 0.000 4.016 1.302
Li 3.478 2.008 3.907
In 0.000 2.246 3.907
In -1.533 4.901 3.907
In 1.945 1.123 1.302
In 1.533 4.901 3.907
In 5.011 1.123 1.302
In 3.478 3.778 1.302
Ni 0.000 0.000 0.000
Ni 0.000 0.000 2.605



Record 2
7
Lattice="2.246 1.297 7.282 -2.246 1.297 7.282 0.000 -2.594 7.282" Properties=species:S:1:pos:R:3 comment="LiIn4Ni2 (GGA-PBE, optimized geometry)" total_magnetization_mub_per_cell=0.00 pbc="T T T"
Li 0.000 0.000 0.000
In 0.000 0.000 2.822
In 0.000 0.000 8.332
In 0.000 0.000 13.513
In 0.000 0.000 19.023
Ni 0.000 0.000 5.537
Ni 0.000 0.000 16.308



Record 3
11
Lattice="4.569 0.000 0.000 0.000 4.569 0.000 0.000 0.000 12.029" Properties=species:S:1:pos:R:3 comment="Li2In8Ni (GGA-PBE, optimized geometry)" total_magnetization_mub_per_cell=0.00 pbc="T T T"
Li 0.000 0.000 2.323
Li 0.000 0.000 9.706
In 0.000 2.285 0.000
In 0.000 2.285 4.514
In 0.000 2.285 7.515
In 2.285 0.000 0.000
In 2.285 0.000 4.514
In 2.285 0.000 7.515
In 2.285 2.285 2.279
In 2.285 2.285 9.750
Ni 0.000 0.000 6.015



Record 4
8
Lattice="-1.851 1.851 9.701 1.851 -1.851 9.701 1.851 1.851 -9.701" Properties=species:S:1:pos:R:3 comment="Li2InNi (GGA-PBE, optimized geometry)" total_magnetization_mub_per_cell=0.00 pbc="T T T"
Li 2.776 0.851 -2.425
Li 0.851 0.925 2.425
Li -0.925 1.000 7.276
Li 1.000 0.925 12.127
In 1.851 0.000 4.851
In 0.000 0.000 9.701
Ni 0.000 0.000 0.000
Ni 0.000 1.851 4.851



Record 5
4
Lattice="2.661 -4.060 0.000 2.661 4.060 0.000 0.000 0.000 2.904" Properties=species:S:1:pos:R:3 comment="Li2InNi (GGA-PBE, optimized geometry)" total_magnetization_mub_per_cell=0.00 pbc="T T T"
Li 1.330 2.030 0.000
Li 1.330 -2.030 0.000
In 0.000 0.000 1.452
Ni 2.661 0.000 1.452



Record 6
20
Lattice="6.872 -6.830 0.000 6.872 6.830 0.000 -1.469 0.000 4.266" Properties=species:S:1:pos:R:3 comment="LiIn3Ni (GGA-PBE, optimized geometry)" de_polymorph_mev_per_atom=0 total_magnetization_mub_per_cell=0.00 pbc="T T T"
Li 2.643 1.018 2.108
Li 1.908 -1.018 4.241
Li 10.366 1.018 0.025
Li 9.631 -1.018 2.158
In 0.316 1.178 3.689
In 4.225 3.314 2.668
In 1.050 -1.178 1.556
In 5.078 1.165 0.564
In 7.315 3.314 3.731
In 4.343 -1.165 2.697
In 7.931 1.165 1.569
In 4.960 -3.314 0.535
In 7.197 -1.165 3.702
In 11.224 1.178 2.710
In 8.049 -3.314 1.598
In 11.959 -1.178 0.577
Ni 5.770 5.401 3.199
Ni 6.505 3.394 1.066
Ni 5.770 -3.394 3.199
Ni 6.505 -5.401 1.066



Record 7
8
Lattice="2.252 1.300 7.363 -2.252 1.300 7.363 0.000 -2.600 7.363" Properties=species:S:1:pos:R:3 comment="LiIn4Ni3 (GGA-PBE, optimized geometry)" total_magnetization_mub_per_cell=0.00 pbc="T T T"
Li 0.000 0.000 0.000
In 0.000 0.000 2.808
In 0.000 0.000 8.335
In 0.000 0.000 13.753
In 0.000 0.000 19.280
Ni 0.000 0.000 5.590
Ni 0.000 0.000 11.044
Ni 0.000 0.000 16.498



Record 8
10
Lattice="6.826 0.000 0.000 0.000 6.826 0.000 0.000 0.000 2.849" Properties=species:S:1:pos:R:3 comment="Li2InNi2 (GGA-PBE, optimized geometry)" de_polymorph_mev_per_atom=27 total_magnetization_mub_per_cell=0.00 pbc="T T T"
Li 0.796 2.617 0.000
Li 2.617 6.030 0.000
Li 4.210 0.796 0.000
Li 6.030 4.210 0.000
In 0.000 0.000 0.000
In 3.413 3.413 0.000
Ni 1.253 4.666 1.425
Ni 2.160 1.253 1.425
Ni 4.666 5.573 1.425
Ni 5.573 2.160 1.425



Number 1: formation energy from the elements -95 meV per atom. Number 2: formation energy from the elements -197 meV per atom. Number 3: formation energy from the elements -131 meV per atom. Number 4: formation energy from the elements 18 meV per atom. Number 5: formation energy from the elements -39 meV per atom. Number 6: formation energy from the elements -129 meV per atom. Number 7: formation energy from the elements -142 meV per atom. Number 8: formation energy from the elements 30 meV per atom.